K2FeF4 | PBE with a Hubbard U | optimized geometry Values from VASP.

Computed properties:
Final energy: -4.755 eV per atom
Magnetic moment: 8.00 μB per cell

```
&SYSTEM
  ibrav = 0, nat = 14, ntyp = 3
/
ATOMIC_SPECIES
K 39.10 K.upf
Fe 55.84 Fe.upf
F 19.00 F.upf
ATOMIC_POSITIONS angstrom
K 0.942 1.570 0.252
K 0.258 1.570 3.843
K 3.672 4.709 3.070
K 2.989 4.709 6.661
Fe -0.117 4.709 5.603
Fe 4.047 1.570 1.310
F -1.506 3.297 5.209
F -1.506 6.122 5.209
F 2.705 4.709 0.594
F 1.419 4.709 4.441
F 2.512 1.570 2.472
F 1.225 1.570 6.319
F 5.436 0.157 1.703
F 5.436 2.982 1.703
CELL_PARAMETERS angstrom
6.394 0.000 0.000
0.000 6.279 0.000
-2.463 0.000 6.913
```

***

VSb2IO | PBE with a Hubbard U | optimized geometry Values from VASP.

Computed properties:
Final energy: -4.167 eV per atom
Distance to the lowest polymorph of the same formula: 0 meV per atom
Magnetic moment: 3.01 μB per cell

```
&SYSTEM
  ibrav = 0, nat = 5, ntyp = 4
/
ATOMIC_SPECIES
V 50.94 V.upf
Sb 121.76 Sb.upf
I 126.90 I.upf
O 16.00 O.upf
ATOMIC_POSITIONS angstrom
V 0.000 0.000 0.000
Sb 0.000 2.234 3.319
Sb 2.234 0.000 3.319
I 2.234 2.234 0.000
O 2.234 2.234 3.319
CELL_PARAMETERS angstrom
4.468 0.000 0.000
0.000 4.468 0.000
0.000 0.000 6.637
```